First-principles (PBE-GGA) data for an optimized crystal structure of La3YGe2, as listed in the Alexandria database.

The formation energy comes out at -0.621 eV/atom. The final energy comes out at -5.701 eV/atom. The density of states at the Fermi level comes out at 13.127 states/eV per cell.

The space group is Immm (No. 71) and the conventional cell measures 4.5124, 4.6957 and 16.7626 Å, with angles of 90.00, 90.00 and 90.00 degrees. The asymmetric unit holds La at (0.0000, 0.0000, 0.0000), La at (0.0000, 0.5000, 0.3182), Y at (0.0000, 0.0000, 0.5000) and Ge at (0.0000, 0.5000, 0.1307).